VASP calculation (PBE) on a geometry-optimized Nb2ZnTcN structure.

Cell: 4.247 4.247 4.051 Å, 90.00 90.00 90.00°
Fractional coordinates of all 5 atoms:
Nb  0.500  0.000  0.000
Nb  0.000  0.500  0.000
Zn  0.500  0.500  0.500
Tc  0.000  0.000  0.500
N  0.000  0.000  0.000

Space group: P4/mmm, No. 123
Magnetic moment, Bohr magnetons per cell: 0.00
Calculated total energy, hartree per atom: -0.3065
Mass density, kg/m³: 8257